The following is a PBE calculation of a relaxed Tm5ZnPb3 crystal, from the Open Quantum Materials Database.

Computed properties:
magnetic moment = 0.003 μB/f.u.
space group = P6_3/mcm (193)
calculated total energy = -4.330 eV per atom

a b c (Å): 9.139 9.139 6.536
angles (deg): 90.00 90.00 120.00
Sites, in units of the cell vectors:
Tm 0.000 0.264 0.250
Tm 0.000 0.736 0.750
Tm 0.264 0.000 0.250
Tm 0.264 0.264 0.750
Tm 0.333 0.667 0.000
Tm 0.333 0.667 0.500
Tm 0.667 0.333 0.000
Tm 0.667 0.333 0.500
Tm 0.736 0.000 0.750
Tm 0.736 0.736 0.250
Zn 0.000 0.000 0.000
Zn 0.000 0.000 0.500
Pb 0.000 0.383 0.750
Pb 0.000 0.617 0.250
Pb 0.383 0.000 0.750
Pb 0.383 0.383 0.250
Pb 0.617 0.000 0.250
Pb 0.617 0.617 0.750